1.
Material: P2RhSe
Method: DFT, PBE
State: optimized geometry

## Properties
electronic total energy = -5.4604 eV/atom
magnetization = 0.00 μB per atom

Cell lengths 3.857, 4.327, 3.940 Å; angles 90.00, 100.42, 90.00 degrees
Space group P2/m (No. 10)
Inequivalent atoms, fractional coordinates:
P  0.206  0.000  0.310 x2
Rh  0.000  0.500  0.500 x1
Se  0.500  0.500  0.000 x1



2.
Material: P3RhSe
Method: DFT, PBE
State: optimized geometry

## Properties
electronic total energy = -4.7231 eV/atom
energy relative to the lowest polymorph listed for this composition = 0.00 eV/f.u.
magnetization = 0.00 μB per atom

Cell lengths 4.609, 4.609, 4.609 Å; angles 90.00, 90.00, 90.00 degrees
Space group Pm-3m (No. 221)
Inequivalent atoms, fractional coordinates:
P  0.000  0.000  0.500 x3
Rh  0.000  0.000  0.000 x1
Se  0.500  0.500  0.500 x1



3.
Material: PRhSe2
Method: DFT, PBE
State: optimized geometry

## Properties
electronic total energy = -5.0534 eV/atom
magnetization = 0.00 μB per atom

Cell lengths 7.816, 3.283, 6.724 Å; angles 90.00, 95.13, 90.00 degrees
Space group Cm (No. 8)
Inequivalent atoms, fractional coordinates:
P  0.000  0.000  0.000 x2
Rh  0.279  0.000  0.892 x2
Se  0.253  0.500  0.621 x2
Se  0.438  0.000  0.243 x2



4.
Material: PRh4Se
Method: DFT, PBE
State: optimized geometry

## Properties
electronic total energy = -5.7606 eV/atom
magnetization = 0.00 μB per atom

Cell lengths 7.298, 7.298, 7.298 Å; angles 90.00, 90.00, 90.00 degrees
Space group F-43m (No. 216)
Inequivalent atoms, fractional coordinates:
P  0.000  0.000  0.000 x4
Rh  0.125  0.125  0.625 x16
Se  0.250  0.250  0.250 x4



5.
Material: P2RhSe
Method: DFT, PBE
State: optimized geometry

## Properties
electronic total energy = -5.5098 eV/atom
magnetization = 0.00 μB per atom

Cell lengths 6.985, 3.192, 6.966 Å; angles 90.00, 116.16, 90.00 degrees
Space group C2/m (No. 12)
Inequivalent atoms, fractional coordinates:
P  0.117  0.000  0.308 x4
Rh  0.000  0.500  0.500 x2
Se  0.000  0.500  0.000 x2



6.
Material: PRhSe4
Method: DFT, PBE
State: optimized geometry

## Properties
electronic total energy = -3.3418 eV/atom
magnetization = 0.12 μB per atom

Cell lengths 7.819, 7.819, 7.819 Å; angles 90.00, 90.00, 90.00 degrees
Space group F-43m (No. 216)
Inequivalent atoms, fractional coordinates:
P  0.000  0.000  0.000 x4
Rh  0.250  0.250  0.750 x4
Se  0.124  0.124  0.376 x16



| no. | formation energy (no corrections) (meV per atom) |
| --- | --- |
| 1 | -46 |
| 2 | 690 |
| 3 | -121 |
| 4 | 623 |
| 5 | -96 |
| 6 | 1108 |